Entry 1:
# BeNi4

A relaxed BeNi4 crystal (GGA-PBE, Alexandria via LeMat-Bulk).

Values from the calculation:
E above lowest polymorph = 561 meV/atom
Formation enthalpy at 0 K = 41 kJ per mole of atoms

```
data_BeNi4
_chemical_formula_sum 'Be1 Ni4'
_symmetry_space_group_name_H-M 'P m -3 m'
_symmetry_Int_Tables_number 221
_symmetry_space_group_name_Hall '-P 4 2 3'
_cell_length_a 3.8298
_cell_length_b 3.8298
_cell_length_c 3.8298
_cell_angle_alpha 90.00
_cell_angle_beta 90.00
_cell_angle_gamma 90.00
loop_
_atom_site_label
_atom_site_fract_x
_atom_site_fract_y
_atom_site_fract_z
Be1 0.0000 0.0000 0.0000
Ni1 0.0000 0.0000 0.5000
Ni2 0.5000 0.5000 0.5000
```

Entry 2:
# Li3Sc3UTe8

A relaxed Li3Sc3UTe8 crystal (GGA-PBE, Alexandria via LeMat-Bulk).

Values from the calculation:
Formation energy from raw total energies = -15.76 eV/f.u.

```
data_Li3Sc3UTe8
_chemical_formula_sum 'Li9 Sc9 U3 Te24'
_symmetry_space_group_name_H-M 'R -3 m'
_symmetry_Int_Tables_number 166
_symmetry_space_group_name_Hall '-R 3 2"'
_cell_length_a 8.3832
_cell_length_b 8.3832
_cell_length_c 20.9676
_cell_angle_alpha 90.00
_cell_angle_beta 90.00
_cell_angle_gamma 120.00
loop_
_atom_site_label
_atom_site_fract_x
_atom_site_fract_y
_atom_site_fract_z
Li1 0.0000 0.5000 0.0000
Sc1 0.0000 0.5000 0.5000
U1 0.0000 0.0000 0.5000
Te1 0.0000 0.0000 0.2478
Te2 0.0121 0.5061 0.7506
```

Entry 3:
# Pr7Sm3Dy

A relaxed Pr7Sm3Dy crystal (GGA-PBE, Alexandria via LeMat-Bulk).

Values from the calculation:
E above lowest polymorph = 10 meV/atom
Formation enthalpy at 0 K = 17 kJ per mole of atoms

```
data_Pr7Sm3Dy
_chemical_formula_sum 'Pr28 Sm12 Dy4'
_symmetry_space_group_name_H-M 'C 1 2/c 1'
_symmetry_Int_Tables_number 15
_symmetry_space_group_name_Hall '-C 2yc'
_cell_length_a 19.5320
_cell_length_b 7.2875
_cell_length_c 12.7536
_cell_angle_alpha 90.00
_cell_angle_beta 116.11
_cell_angle_gamma 90.00
loop_
_atom_site_label
_atom_site_fract_x
_atom_site_fract_y
_atom_site_fract_z
Pr1 0.0000 0.2130 0.2500
Pr2 0.1582 0.4960 0.7742
Pr3 0.1663 0.2464 0.0273
Pr4 0.1678 0.2479 0.5290
Sm1 0.0000 0.5000 0.0000
Sm2 0.1692 0.0006 0.2740
Dy1 0.0000 0.0000 0.0000
```

Entry 4:
# Sr2LiP

A relaxed Sr2LiP crystal (GGA-PBE, Alexandria via LeMat-Bulk).

Values from the calculation:
Formation enthalpy at 0 K = -53 kJ per mole of atoms

```
data_Sr2LiP
_chemical_formula_sum 'Sr4 Li2 P2'
_symmetry_space_group_name_H-M 'C 1 2/m 1'
_symmetry_Int_Tables_number 12
_symmetry_space_group_name_Hall '-C 2y'
_cell_length_a 7.7205
_cell_length_b 4.4510
_cell_length_c 9.1803
_cell_angle_alpha 90.00
_cell_angle_beta 105.98
_cell_angle_gamma 90.00
loop_
_atom_site_label
_atom_site_fract_x
_atom_site_fract_y
_atom_site_fract_z
Sr1 0.2249 0.0000 0.1776
Li1 0.0000 0.0000 0.5000
P1 0.0000 0.5000 0.0000
```

Entry 5:
# Rb2O

A relaxed Rb2O crystal (GGA-PBE, Alexandria via LeMat-Bulk).

Values from the calculation:
Formation energy from raw total energies = -2.63 eV/f.u.

```
data_Rb2O
_chemical_formula_sum 'Rb8 O4'
_symmetry_space_group_name_H-M 'P n m a'
_symmetry_Int_Tables_number 62
_symmetry_space_group_name_Hall '-P 2ac 2n'
_cell_length_a 7.1695
_cell_length_b 4.7437
_cell_length_c 9.1667
_cell_angle_alpha 90.00
_cell_angle_beta 90.00
_cell_angle_gamma 90.00
loop_
_atom_site_label
_atom_site_fract_x
_atom_site_fract_y
_atom_site_fract_z
Rb1 0.0081 0.2500 0.1455
Rb2 0.1271 0.7500 0.4023
O1 0.2377 0.7500 0.0853
```

Entry 6:
# Na3Hf2CuS6

A relaxed Na3Hf2CuS6 crystal (GGA-PBE, Alexandria via LeMat-Bulk).

Values from the calculation:
Formation energy from raw total energies = -15.29 eV/f.u.

```
data_Na3Hf2CuS6
_chemical_formula_sum 'Na6 Hf4 Cu2 S12'
_symmetry_space_group_name_H-M 'C 1 2/m 1'
_symmetry_Int_Tables_number 12
_symmetry_space_group_name_Hall '-C 2y'
_cell_length_a 6.4727
_cell_length_b 11.1858
_cell_length_c 6.9669
_cell_angle_alpha 90.00
_cell_angle_beta 108.08
_cell_angle_gamma 90.00
loop_
_atom_site_label
_atom_site_fract_x
_atom_site_fract_y
_atom_site_fract_z
Na1 0.0000 0.0000 0.0000
Na2 0.0000 0.3372 0.0000
Hf1 0.0000 0.1674 0.5000
Cu1 0.0000 0.5000 0.5000
S1 0.2281 0.0000 0.7160
S2 0.2435 0.3288 0.7154
```

Entry 7:
# SrTaCrHg2

A relaxed SrTaCrHg2 crystal (GGA-PBE, Alexandria via LeMat-Bulk).

Values from the calculation:
E above lowest polymorph = 76 meV/atom
Formation enthalpy at 0 K = 54 kJ per mole of atoms

```
data_SrTaCrHg2
_chemical_formula_sum 'Sr1 Ta1 Cr1 Hg2'
_symmetry_space_group_name_H-M 'P 4/m m m'
_symmetry_Int_Tables_number 123
_symmetry_space_group_name_Hall '-P 4 2'
_cell_length_a 5.4813
_cell_length_b 5.4813
_cell_length_c 4.6765
_cell_angle_alpha 90.00
_cell_angle_beta 90.00
_cell_angle_gamma 90.00
loop_
_atom_site_label
_atom_site_fract_x
_atom_site_fract_y
_atom_site_fract_z
Sr1 0.0000 0.0000 0.0000
Ta1 0.5000 0.5000 0.5000
Cr1 0.5000 0.5000 0.0000
Hg1 0.0000 0.5000 0.5000
```

Entry 8:
# SmMgBi

A relaxed SmMgBi crystal (GGA-PBE, Alexandria via LeMat-Bulk).

Values from the calculation:
E above lowest polymorph = 14 meV/atom
Formation enthalpy at 0 K = -38 kJ per mole of atoms

```
data_SmMgBi
_chemical_formula_sum 'Sm4 Mg4 Bi4'
_symmetry_space_group_name_H-M 'A e m 2'
_symmetry_Int_Tables_number 39
_symmetry_space_group_name_Hall 'A 2 -2b'
_cell_length_a 7.5636
_cell_length_b 6.9792
_cell_length_c 6.9786
_cell_angle_alpha 90.00
_cell_angle_beta 90.00
_cell_angle_gamma 90.00
loop_
_atom_site_label
_atom_site_fract_x
_atom_site_fract_y
_atom_site_fract_z
Sm1 0.0000 0.0000 0.0000
Mg1 0.3201 0.2500 0.2507
Bi1 0.2885 0.2500 0.7500
```

Entry 9:
# LaCd2Ag

A relaxed LaCd2Ag crystal (GGA-PBE, Alexandria via LeMat-Bulk).

Values from the calculation:
Formation enthalpy at 0 K = -2 kJ per mole of atoms

```
data_LaCd2Ag
_chemical_formula_sum 'La4 Cd8 Ag4'
_symmetry_space_group_name_H-M 'I -4 2 d'
_symmetry_Int_Tables_number 122
_symmetry_space_group_name_Hall 'I -4 2bw'
_cell_length_a 4.5217
_cell_length_b 4.5217
_cell_length_c 21.7345
_cell_angle_alpha 90.00
_cell_angle_beta 90.00
_cell_angle_gamma 90.00
loop_
_atom_site_label
_atom_site_fract_x
_atom_site_fract_y
_atom_site_fract_z
La1 0.0000 0.0000 0.0000
Cd1 0.1992 0.2500 0.6250
Ag1 0.0000 0.0000 0.5000
```

Entry 10:
# PaInAgBr6

A relaxed PaInAgBr6 crystal (GGA-PBE, Alexandria via LeMat-Bulk).

Values from the calculation:
Formation energy from raw total energies = -9.37 eV/f.u.

```
data_PaInAgBr6
_chemical_formula_sum 'Pa2 In2 Ag2 Br12'
_symmetry_space_group_name_H-M 'P -3 1 c'
_symmetry_Int_Tables_number 163
_symmetry_space_group_name_Hall '-P 3 2c'
_cell_length_a 7.3205
_cell_length_b 7.3205
_cell_length_c 14.6503
_cell_angle_alpha 90.00
_cell_angle_beta 90.00
_cell_angle_gamma 120.00
loop_
_atom_site_label
_atom_site_fract_x
_atom_site_fract_y
_atom_site_fract_z
Pa1 0.3333 0.6667 0.2500
In1 0.0000 0.0000 0.0000
Ag1 0.3333 0.6667 0.7500
Br1 0.0103 0.3646 0.1372
```

Entry 11:
# BiS2Cl4

A relaxed BiS2Cl4 crystal (GGA-PBE, Alexandria via LeMat-Bulk).

Values from the calculation:
Formation energy from raw total energies = -3.28 eV/f.u.

```
data_BiS2Cl4
_chemical_formula_sum 'Bi1 S2 Cl4'
_symmetry_space_group_name_H-M 'P -1'
_symmetry_Int_Tables_number 2
_symmetry_space_group_name_Hall '-P 1'
_cell_length_a 4.0953
_cell_length_b 7.7769
_cell_length_c 9.2737
_cell_angle_alpha 107.49
_cell_angle_beta 95.30
_cell_angle_gamma 103.11
loop_
_atom_site_label
_atom_site_fract_x
_atom_site_fract_y
_atom_site_fract_z
Bi1 0.0000 0.0000 0.0000
S1 0.4159 0.5187 0.5923
Cl1 0.1813 0.3771 0.1438
Cl2 0.4773 0.0371 0.8100
```

Entry 12:
# Ac3Cu2Hg3

A relaxed Ac3Cu2Hg3 crystal (GGA-PBE, Alexandria via LeMat-Bulk).

Values from the calculation:
Formation enthalpy at 0 K = -32 kJ per mole of atoms

```
data_Ac3Cu2Hg3
_chemical_formula_sum 'Ac12 Cu8 Hg12'
_symmetry_space_group_name_H-M 'C m c m'
_symmetry_Int_Tables_number 63
_symmetry_space_group_name_Hall '-C 2c 2'
_cell_length_a 4.6628
_cell_length_b 11.5520
_cell_length_c 16.9090
_cell_angle_alpha 90.00
_cell_angle_beta 90.00
_cell_angle_gamma 90.00
loop_
_atom_site_label
_atom_site_fract_x
_atom_site_fract_y
_atom_site_fract_z
Ac1 0.0000 0.1061 0.0968
Ac2 0.0000 0.3721 0.2500
Cu1 0.0000 0.1928 0.6128
Hg1 0.0000 0.3402 0.7500
Hg2 0.0000 0.3893 0.0510
```